{"formula": "BAs3Se", "functional": "PBE-GGA", "state": "optimized geometry", "lattice_angstrom": [[4.460, 0.000, 0.000], [0.000, 4.460, 0.000], [0.000, 0.000, 4.460]], "species": ["Se", "As", "As", "As", "B"], "frac_coords": [[0.500, 0.500, 0.500], [0.500, 0.000, 0.000], [0.000, 0.000, 0.500], [0.000, 0.500, 0.000], [0.000, 0.000, 0.000]], "de_polymorph_kj_per_mol_atoms": 0.0, "formation_energy_uncorrected_ev_per_atom": 0.802, "final_energy_ev_per_atom": -4.020, "sg": "No. 221"}

=====

{"formula": "ZnTcRh", "functional": "PBE-GGA", "state": "optimized geometry", "lattice_angstrom": [[4.130, 0.000, 0.000], [2.065, 3.577, 0.000], [2.065, 1.192, 3.372]], "species": ["Zn", "Rh", "Tc"], "frac_coords": [[0.500, 0.500, 0.500], [0.750, 0.750, 0.750], [0.000, 0.000, 0.000]], "de_polymorph_kj_per_mol_atoms": 38.5, "final_energy_ev_per_atom": -6.097, "e_form_ev_per_atom": 0.2330, "sg": "No. 216"}

=====

{"formula": "K2PuBO6", "functional": "PBE-GGA", "state": "optimized geometry", "lattice_angstrom": [[-2.658, -4.739, 2.443], [3.003, -0.876, 5.089], [-2.823, 0.036, 6.023]], "species": ["K", "O", "B", "O", "O", "O", "K", "O", "Pu", "O"], "frac_coords": [[0.249, 0.749, 0.501], [0.674, 0.329, 0.000], [0.500, 0.500, 0.000], [0.200, 0.198, 0.002], [0.326, 0.671, 0.000], [0.800, 0.802, 0.998], [0.751, 0.251, 0.499], [0.799, 0.799, 0.400], [0.000, 0.000, 0.000], [0.201, 0.201, 0.600]], "formation_energy_uncorrected_ev_per_atom": -2.199, "final_energy_ev_per_atom": -7.494, "sg": "No. 2"}